1 | La2SbRu2 after structural relaxation, computed with PBE.

```
La2SbRu2
1.0
-3.561 0.979 0.609
-0.006 -1.993 3.168
0.991 6.741 6.453
Sb Ru La
1 2 2
Cartesian
0.000 0.000 0.000
-0.400 2.121 5.755
-2.177 3.607 4.475
-1.135 1.188 2.955
-1.441 4.541 7.275
```

## Properties
The value obtained for the mass density is 7922 kg/m³.


2 | La2SbRu2 after structural relaxation, computed with PBE.

```
La2SbRu2
1.0
7.284 0.000 0.000
0.000 7.284 0.000
0.000 0.000 4.423
Ru Sb La
4 2 4
Cartesian
2.779 6.421 0.000
0.863 2.779 0.000
6.421 4.505 0.000
4.505 0.863 0.000
3.642 3.642 0.000
0.000 0.000 0.000
1.347 4.989 2.211
2.296 1.347 2.211
5.938 2.296 2.211
4.989 5.938 2.211
```

## Properties
The value obtained for the mass density is 8515 kg/m³.


Which one sits at the top of the stability order? 2 does.


1 | La4SbRu after structural relaxation, computed with PBE.

```
La4SbRu
1.0
-6.047 -3.557 0.557
5.614 -5.747 0.610
0.357 5.584 6.899
La Sb Ru
8 2 2
Cartesian
-3.627 -0.556 3.283
4.413 -4.275 1.136
0.720 -0.450 3.187
3.551 -3.163 4.784
1.722 -0.638 6.962
-1.797 -3.082 1.104
-4.489 0.555 6.930
-0.795 -3.269 4.879
1.328 -3.545 2.195
-1.404 -0.175 5.871
4.438 -1.196 6.492
-4.513 -2.524 1.574
```

## Properties
The value obtained for the mass density is 6215 kg/m³.


2 | La4SbRu after structural relaxation, computed with PBE.

```
La4SbRu
1.0
0.000 4.431 4.431
4.431 0.000 4.431
4.431 4.431 0.000
La Sb Ru
4 1 1
Cartesian
3.326 5.537 5.537
5.537 5.537 3.326
5.537 3.326 5.537
3.326 3.326 3.326
0.000 0.000 0.000
6.647 6.647 6.647
```

## Properties
The value obtained for the mass density is 7427 kg/m³.


3 | La4SbRu after structural relaxation, computed with PBE.

```
La4SbRu
1.0
5.713 0.000 -2.944
0.000 6.979 0.000
-1.327 0.000 10.227
La Ru Sb
8 2 2
Cartesian
1.404 5.234 0.313
2.332 1.745 2.730
-0.295 6.948 6.962
4.681 0.031 0.322
2.982 1.745 6.970
4.681 3.458 0.322
-0.295 3.521 6.962
2.055 5.234 4.553
0.777 1.745 5.136
3.610 5.234 2.148
1.906 1.745 -0.547
2.481 5.234 7.831
```

## Properties
The value obtained for the mass density is 6794 kg/m³.


Which one sits at the top of the stability order? 3 does.